Density functional theory data (PBE) for a relaxed BiS3O crystal.

crystal system = cubic
relative energy among the computed polymorphs = 95.1 kJ/mol of atoms
space group = Pm-3m

abc: 5.264 5.264 5.264
angles: 90.00 90.00 90.00
Positions (direct):
1 O 0.500 0.500 0.500
2 S 0.000 0.500 0.000
3 S 0.500 0.000 0.000
4 S 0.000 0.000 0.500
5 Bi 0.000 0.000 0.000

Density functional theory data (PBE) for a relaxed Bi3SO crystal.

crystal system = cubic
relative energy among the computed polymorphs = 0.0 kJ/mol of atoms
space group = Pm-3m

abc: 4.964 4.964 4.964
angles: 90.00 90.00 90.00
Positions (direct):
1 S 0.500 0.500 0.500
2 Bi 0.000 0.500 0.000
3 Bi 0.500 0.000 0.000
4 Bi 0.000 0.000 0.500
5 O 0.000 0.000 0.000

Density functional theory data (PBE) for a relaxed BiSO crystal.

crystal system = monoclinic
relative energy among the computed polymorphs = 0.0 kJ/mol of atoms
space group = C2/m

abc: 3.956 3.956 7.904
angles: 104.27 104.28 90.00
Positions (direct):
1 O 0.814 0.366 0.920
2 O 0.314 0.867 0.920
3 S 0.492 0.545 0.280
4 S 0.635 0.688 0.560
5 Bi 0.898 0.951 0.093
6 Bi 0.229 0.282 0.746

Density functional theory data (PBE) for a relaxed Bi2S3O12 crystal.

crystal system = monoclinic
relative energy among the computed polymorphs = 0.6 kJ/mol of atoms
space group = C2/c

abc: 9.328 9.328 9.845
angles: 60.40 60.40 59.98
Positions (direct):
1 O 0.976 0.887 0.899
2 O 0.600 0.869 0.737
3 O 0.564 0.641 0.309
4 O 0.400 0.131 0.263
5 O 0.436 0.359 0.691
6 O 0.454 0.217 0.426
7 O 0.653 0.217 0.147
8 O 0.217 0.454 0.926
9 O 0.887 0.976 0.399
10 O 0.131 0.400 0.763
11 O 0.359 0.436 0.191
12 O 0.929 0.201 0.776
13 O 0.799 0.071 0.724
14 O 0.783 0.347 0.353
15 O 0.347 0.783 0.853
16 O 0.071 0.799 0.224
17 O 0.641 0.564 0.809
18 O 0.783 0.546 0.074
19 O 0.024 0.113 0.101
20 O 0.869 0.600 0.237
21 O 0.546 0.783 0.574
22 O 0.217 0.653 0.647
23 O 0.113 0.024 0.601
24 O 0.201 0.929 0.276
25 S 0.749 0.535 0.244
26 S 0.044 0.956 0.250
27 S 0.956 0.044 0.750
28 S 0.251 0.465 0.756
29 S 0.535 0.749 0.744
30 S 0.465 0.251 0.256
31 Bi 0.144 0.647 0.058
32 Bi 0.647 0.144 0.558
33 Bi 0.856 0.353 0.942
34 Bi 0.353 0.856 0.442

Density functional theory data (PBE) for a relaxed Bi2S3O12 crystal.

crystal system = trigonal
relative energy among the computed polymorphs = 0.0 kJ/mol of atoms
space group = R-3

abc: 9.757 9.757 9.757
angles: 55.91 55.91 55.91
Positions (direct):
1 O 0.150 0.516 0.203
2 O 0.487 0.565 0.141
3 O 0.796 0.025 0.591
4 O 0.797 0.850 0.484
5 O 0.141 0.487 0.565
6 O 0.513 0.435 0.859
7 O 0.203 0.150 0.516
8 O 0.435 0.859 0.513
9 O 0.484 0.797 0.850
10 O 0.723 0.134 0.883
11 O 0.883 0.723 0.134
12 O 0.866 0.117 0.277
13 O 0.591 0.796 0.025
14 O 0.409 0.204 0.975
15 O 0.204 0.975 0.409
16 O 0.277 0.866 0.117
17 O 0.117 0.277 0.866
18 O 0.025 0.591 0.796
19 O 0.850 0.484 0.797
20 O 0.134 0.883 0.723
21 O 0.516 0.203 0.150
22 O 0.565 0.141 0.487
23 O 0.859 0.513 0.435
24 O 0.975 0.409 0.204
25 Bi 0.348 0.348 0.348
26 Bi 0.856 0.856 0.856
27 Bi 0.144 0.144 0.144
28 Bi 0.652 0.652 0.652
29 S 0.755 0.033 0.461
30 S 0.967 0.539 0.245
31 S 0.245 0.967 0.539
32 S 0.539 0.245 0.967
33 S 0.033 0.461 0.755
34 S 0.461 0.755 0.033

Density functional theory data (PBE) for a relaxed BiS2O6 crystal.

crystal system = trigonal
space group = R3

abc: 6.015 6.015 6.869
angles: 64.04 64.04 60.00
Positions (direct):
1 O 0.027 0.616 0.749
2 O 0.609 0.027 0.749
3 O 0.616 0.609 0.749
4 O 0.439 0.450 0.251
5 O 0.859 0.439 0.251
6 O 0.450 0.859 0.251
7 S 0.730 0.730 0.809
8 S 0.603 0.603 0.191
9 Bi 0.333 0.333 0.001

We obtain total energy values of -14.0; -19.9; -30.7; -205.7; -205.9; -50.7 eV for the cell shown for the records listed above, in that order.
We obtain energy relative to the elements, uncorrected values of 1.45; 0.17; -0.80; -1.36; -1.37; -0.98 eV per atom for the records listed above, in that order.